Material: La8DyEr2
Method: DFT, PBE
State: relaxed

Calculated values
The calculation puts the density of states at the Fermi level at 19.5 states/eV/f.u. The calculation puts the formation energy at 0.0225 eV per atom. Its energy relative to the lowest polymorph listed for this composition is 0 meV/atom. Its total energy is -4.809 eV per atom. The calculation puts the volume at 35.16 Å³/atom.

Cell lengths 18.670, 5.220, 8.231 Å; angles 90.00, 105.35, 90.00 degrees
Space group C2/m (No. 12)
Symmetry-distinct sites (fractional):
La (0.047, 0.000, 0.227) x4
La (0.092, 0.500, 0.954) x4
La (0.138, 0.000, 0.686) x4
La (0.182, 0.500, 0.412) x4
Dy (0.000, 0.500, 0.500) x2
Er (0.227, 0.000, 0.134) x4